i | Crystalline Nd8YMg2 at its relaxed geometry. Source: Alexandria via LeMat-Bulk, functional PBE. Values from VASP.

* magnetization: 0.00 μB/atom

```
&SYSTEM
  ibrav = 0, nat = 11, ntyp = 3
/
ATOMIC_SPECIES
Nd 144.24 Nd.upf
Y 88.91 Y.upf
Mg 24.30 Mg.upf
CELL_PARAMETERS angstrom
4.970 0.000 -1.429
-0.827 7.686 -2.877
-0.008 0.443 9.333
ATOMIC_POSITIONS crystal
Nd 0.684 0.935 0.368
Nd 0.950 0.266 0.900
Nd 0.595 0.461 0.189
Nd 0.141 0.198 0.283
Y 0.500 0.000 0.000
Mg 0.773 0.366 0.546
Nd 0.316 0.065 0.632
Nd 0.859 0.802 0.717
Mg 0.227 0.634 0.454
Nd 0.405 0.539 0.811
Nd 0.050 0.734 0.100
```

***

ii | Crystalline Nd8YMg2 at its relaxed geometry. Source: Alexandria via LeMat-Bulk, functional PBE. Values from VASP.

* magnetization: 0.00 μB/atom

```
&SYSTEM
  ibrav = 0, nat = 11, ntyp = 3
/
ATOMIC_SPECIES
Nd 144.24 Nd.upf
Y 88.91 Y.upf
Mg 24.30 Mg.upf
CELL_PARAMETERS angstrom
5.692 1.389 0.000
2.232 8.739 0.000
1.116 4.369 7.985
ATOMIC_POSITIONS crystal
Nd 0.294 0.412 0.000
Nd 0.142 0.903 0.772
Y 0.500 0.000 0.000
Nd 0.706 0.588 0.000
Nd 0.858 0.325 0.772
Nd 0.858 0.097 0.228
Nd 0.500 0.210 0.580
Nd 0.142 0.675 0.228
Mg 0.000 0.307 0.386
Mg 0.000 0.693 0.614
Nd 0.500 0.790 0.420
```

***

Q: What are the energies relative to the best structure? A: i 0.000; ii 0.103, in eV/atom.

***

i | Crystalline Nd2Y5Mg at its relaxed geometry. Source: Alexandria via LeMat-Bulk, functional PBE. Values from VASP.

* magnetization: 0.00 μB/atom

```
&SYSTEM
  ibrav = 0, nat = 16, ntyp = 3
/
ATOMIC_SPECIES
Y 88.91 Y.upf
Nd 144.24 Nd.upf
Mg 24.30 Mg.upf
CELL_PARAMETERS angstrom
-12.919 1.008 8.857
8.461 -7.254 5.959
-3.544 -1.087 11.011
ATOMIC_POSITIONS crystal
Y 0.801 0.620 0.393
Y 0.881 0.028 0.538
Y 0.634 0.915 0.135
Nd 0.500 0.500 0.000
Nd 0.500 0.500 0.500
Y 0.815 0.337 0.068
Nd 0.000 0.500 0.500
Y 0.422 0.261 0.393
Y 0.199 0.380 0.607
Y 0.119 0.972 0.462
Mg 0.152 0.802 0.703
Y 0.366 0.085 0.865
Y 0.185 0.663 0.932
Y 0.578 0.739 0.607
Nd 0.500 0.000 0.000
Mg 0.848 0.198 0.297
```

***

ii | Crystalline Nd2Y5Mg at its relaxed geometry. Source: Alexandria via LeMat-Bulk, functional PBE. Values from VASP.

* magnetization: 0.00 μB/atom

```
&SYSTEM
  ibrav = 0, nat = 8, ntyp = 3
/
ATOMIC_SPECIES
Nd 144.24 Nd.upf
Y 88.91 Y.upf
Mg 24.30 Mg.upf
CELL_PARAMETERS angstrom
7.087 0.000 0.000
0.000 7.087 0.000
-3.543 -3.543 5.092
ATOMIC_POSITIONS crystal
Nd 0.222 0.722 0.444
Y 0.722 0.722 0.444
Mg 0.222 0.222 0.444
Y 0.222 0.222 0.944
Y 0.722 0.722 0.944
Y 0.722 0.222 0.944
Nd 0.722 0.222 0.444
Y 0.222 0.722 0.944
```

***

Q: What are the energies relative to the best structure? A: i 0.115; ii 0.000, in eV/atom.

***

i | Crystalline Nd6Y12Mg at its relaxed geometry. Source: Alexandria via LeMat-Bulk, functional PBE. Values from VASP.

* magnetization: 0.00 μB/atom

```
&SYSTEM
  ibrav = 0, nat = 19, ntyp = 3
/
ATOMIC_SPECIES
Nd 144.24 Nd.upf
Y 88.91 Y.upf
Mg 24.30 Mg.upf
CELL_PARAMETERS angstrom
-4.153 -7.261 -1.957
5.551 -1.669 -6.340
5.005 -4.504 5.335
ATOMIC_POSITIONS crystal
Nd 0.907 0.299 0.738
Y 0.638 0.984 0.815
Y 0.016 0.185 0.362
Y 0.563 0.220 0.463
Y 0.362 0.016 0.185
Nd 0.738 0.907 0.299
Nd 0.299 0.738 0.907
Y 0.780 0.537 0.437
Nd 0.093 0.701 0.262
Y 0.437 0.780 0.537
Nd 0.262 0.093 0.701
Mg 0.000 0.000 0.000
Y 0.984 0.815 0.638
Y 0.537 0.437 0.780
Y 0.815 0.638 0.984
Y 0.185 0.362 0.016
Y 0.463 0.563 0.220
Nd 0.701 0.262 0.093
Y 0.220 0.463 0.563
```

***

ii | Crystalline Nd6Y12Mg at its relaxed geometry. Source: Alexandria via LeMat-Bulk, functional PBE. Values from VASP.

* magnetization: 0.00 μB/atom

```
&SYSTEM
  ibrav = 0, nat = 19, ntyp = 3
/
ATOMIC_SPECIES
Y 88.91 Y.upf
Nd 144.24 Nd.upf
Mg 24.30 Mg.upf
CELL_PARAMETERS angstrom
-8.094 1.698 -2.873
-0.558 -8.736 -0.086
-1.541 1.167 8.538
ATOMIC_POSITIONS crystal
Y 0.591 0.167 0.591
Y 0.738 0.000 0.262
Y 0.000 0.262 0.738
Nd 0.592 0.865 0.864
Nd 0.408 0.135 0.136
Nd 0.136 0.408 0.135
Y 0.262 0.738 0.000
Y 0.262 0.000 0.738
Y 0.738 0.262 0.000
Nd 0.864 0.592 0.865
Y 0.833 0.409 0.409
Mg 0.000 0.000 0.000
Y 0.000 0.738 0.262
Y 0.409 0.409 0.833
Y 0.409 0.833 0.409
Nd 0.865 0.864 0.592
Y 0.167 0.591 0.591
Nd 0.135 0.136 0.408
Y 0.591 0.591 0.167
```

***

Q: What are the energies relative to the best structure? A: i 0.000; ii 0.018, in eV/atom.

***

i | Crystalline NdMgZn2 at its relaxed geometry. Source: Alexandria via LeMat-Bulk, functional PBE. Values from VASP.

* magnetization: 0.00 μB/atom

```
&SYSTEM
  ibrav = 0, nat = 4, ntyp = 3
/
ATOMIC_SPECIES
Zn 65.41 Zn.upf
Nd 144.24 Nd.upf
Mg 24.30 Mg.upf
CELL_PARAMETERS angstrom
-3.466 0.326 0.331
-0.367 -0.400 -3.454
-0.572 -6.958 0.866
ATOMIC_POSITIONS crystal
Zn 0.000 0.000 0.788
Zn 0.000 0.000 0.212
Nd 0.500 0.500 0.500
Mg 0.500 0.500 0.000
```

***

ii | Crystalline NdMgZn2 at its relaxed geometry. Source: Alexandria via LeMat-Bulk, functional PBE. Values from VASP.

* magnetization: 0.00 μB/atom

```
&SYSTEM
  ibrav = 0, nat = 4, ntyp = 3
/
ATOMIC_SPECIES
Zn 65.41 Zn.upf
Mg 24.30 Mg.upf
Nd 144.24 Nd.upf
CELL_PARAMETERS angstrom
-4.800 -0.590 0.962
-1.734 -4.440 1.263
-1.503 -0.837 4.621
ATOMIC_POSITIONS crystal
Zn 0.750 0.750 0.750
Mg 0.500 0.500 0.500
Nd 0.000 0.000 0.000
Zn 0.250 0.250 0.250
```

***

Q: What are the energies relative to the best structure? A: i 0.138; ii 0.000, in eV/atom.